No. 1
The following is a GGA-PBE calculation of a geometry-optimized Al3Fe4Si2 structure, from the Alexandria database.

Unit cell a=6.9109 b=6.9109 c=9.7546 alpha=90.00 beta=90.00 gamma=149.18
Last column: nearest neighbours and their distance in Å.
Positions (direct):
Al: 0.9462 0.0538 0.1154  2 Fe 2.41, 2 Si 2.58-2.60, 2 Al 2.63-2.67
Al: 0.0538 0.9462 0.8846  2 Fe 2.41, 2 Si 2.58-2.60, 2 Al 2.63-2.67
Al: 0.2387 0.7613 0.7500  3 Fe 2.45-2.52
Al: 0.7613 0.2387 0.2500  3 Fe 2.45-2.52
Al: 0.9462 0.0538 0.3846  2 Fe 2.41, 2 Si 2.58-2.60, 2 Al 2.63-2.67
Al: 0.0538 0.9462 0.6154  2 Fe 2.41, 2 Si 2.58-2.60, 2 Al 2.63-2.67
Si: 0.8586 0.1414 0.8796  5 Fe 2.38-2.45, 1 Si 2.53, 2 Al 2.58-2.60
Si: 0.1414 0.8586 0.1204  5 Fe 2.38-2.45, 1 Si 2.53, 2 Al 2.58-2.60
Si: 0.8586 0.1414 0.6204  5 Fe 2.38-2.45, 1 Si 2.53, 2 Al 2.58-2.60
Si: 0.1414 0.8586 0.3796  5 Fe 2.38-2.45, 1 Si 2.53, 2 Al 2.58-2.60
Fe: 0.3827 0.6173 0.2500  6 Al 2.41-2.45, 3 Fe 2.43-2.52
Fe: 0.4280 0.5720 0.7500  4 Si 2.41, 1 Al 2.52, 1 Fe 2.52
Fe: 0.6173 0.3827 0.7500  6 Al 2.41-2.45, 3 Fe 2.43-2.52
Fe: 0.5720 0.4280 0.2500  4 Si 2.41, 1 Al 2.52, 1 Fe 2.52
Fe: 0.3105 0.6895 0.4790  3 Si 2.38-2.45, 3 Fe 2.43-2.48
Fe: 0.6895 0.3105 0.5210  3 Si 2.38-2.45, 3 Fe 2.43-2.48
Fe: 0.6895 0.3105 0.9790  3 Si 2.38-2.45, 3 Fe 2.43-2.48
Fe: 0.3105 0.6895 0.0210  3 Si 2.38-2.45, 3 Fe 2.43-2.48

Summary:
For the formation energy without anion corrections, the calculation gives -0.097 eV/atom. For the theoretical density, the calculation gives 5.02 g/cm3. As for the space-group type: Cmcm. The calculation puts the total energy at -6.311 eV per atom. For the density of states at the Fermi level, the calculation gives 12.1 states/eV per cell.

No. 2
The following is a GGA-PBE calculation of a geometry-optimized AlFe3Si2 structure, from the Alexandria database.

Unit cell a=2.7885 b=2.7885 c=8.3766 alpha=90.00 beta=90.00 gamma=90.00
Last column: nearest neighbours and their distance in Å.
Positions (direct):
Si: 0.5000 0.5000 0.1670  8 Fe 2.35-2.42
Si: 0.5000 0.5000 0.8330  8 Fe 2.35-2.42
Al: 0.5000 0.5000 0.5000  8 Fe 2.48
Fe: 0.0000 0.0000 0.3199  4 Si 2.35, 4 Al 2.48
Fe: 0.0000 0.0000 0.6801  4 Si 2.35, 4 Al 2.48
Fe: 0.0000 0.0000 0.0000  8 Si 2.42, 2 Fe 2.68

Summary:
For the formation energy without anion corrections, the calculation gives -0.487 eV/atom. For the theoretical density, the calculation gives 6.39 g/cm3. As for the space-group type: P4/mmm. The calculation puts the total energy at -7.150 eV per atom. For the density of states at the Fermi level, the calculation gives 4.8 states/eV per cell.

No. 3
The following is a GGA-PBE calculation of a geometry-optimized Al2FeSi structure, from the Alexandria database.

Unit cell a=2.7270 b=3.9794 c=6.0105 alpha=109.33 beta=90.02 gamma=90.00
Last column: nearest neighbours and their distance in Å.
Positions (direct):
Fe: 0.2594 0.1122 0.2244  2 Si 2.32, 6 Al 2.41-2.48
Al: 0.7593 0.6085 0.2170  4 Fe 2.41
Al: 0.7586 0.9301 0.8602  2 Fe 2.47-2.48, 2 Si 2.64, 2 Al 2.73
Si: 0.7597 0.2776 0.5552  2 Fe 2.32

Summary:
For the formation energy without anion corrections, the calculation gives -0.200 eV/atom. For the theoretical density, the calculation gives 3.72 g/cm3. As for the space-group type: Amm2. The calculation puts the total energy at -5.542 eV per atom. For the density of states at the Fermi level, the calculation gives 2.5 states/eV per cell.

No. 4
The following is a GGA-PBE calculation of a geometry-optimized Al2FeSi structure, from the Alexandria database.

Unit cell a=3.8892 b=2.9936 c=4.8949 alpha=72.18 beta=90.00 gamma=90.00
Last column: nearest neighbours and their distance in Å.
Positions (direct):
Al: 0.0000 0.9606 0.9545  3 Fe 2.52-2.61, 4 Si 2.63
Al: 0.5000 0.2887 0.2968  3 Si 2.54-2.60, 4 Fe 2.62-2.63
Si: 0.5000 0.5609 0.7525  2 Fe 2.28, 1 Al 2.54
Fe: 0.0000 0.6898 0.4963  2 Si 2.28, 1 Al 2.52

Summary:
For the formation energy without anion corrections, the calculation gives -0.190 eV/atom. For the theoretical density, the calculation gives 4.22 g/cm3. As for the space-group type: Amm2. The calculation puts the total energy at -5.533 eV per atom. For the density of states at the Fermi level, the calculation gives 2.2 states/eV per cell.

No. 5
The following is a GGA-PBE calculation of a geometry-optimized Al2FeSi structure, from the Alexandria database.

Unit cell a=4.4481 b=4.4481 c=4.4757 alpha=80.73 beta=80.73 gamma=37.26
Last column: nearest neighbours and their distance in Å.
Positions (direct):
Si: 0.2334 0.2334 0.2730  3 Fe 2.45-2.65, 5 Al 2.48-2.74
Al: 0.9980 0.9980 0.0070  3 Si 2.48-2.74, 3 Al 2.52-2.75, 4 Fe 2.60-2.70
Al: 0.7618 0.7618 0.7290  3 Al 2.52-2.75, 4 Si 2.53-2.79, 3 Fe 2.56-2.58
Fe: 0.5067 0.5067 0.4911  3 Si 2.45-2.65, 7 Al 2.56-2.70

Summary:
For the formation energy without anion corrections, the calculation gives -0.115 eV/atom. For the theoretical density, the calculation gives 4.33 g/cm3. As for the space-group type: Cm. The calculation puts the total energy at -5.457 eV per atom. For the density of states at the Fermi level, the calculation gives 1.5 states/eV per cell.

No. 6
The following is a GGA-PBE calculation of a geometry-optimized Al2FeSi structure, from the Alexandria database.

Unit cell a=4.8390 b=4.8390 c=4.8390 alpha=142.77 beta=127.71 gamma=65.93
Last column: nearest neighbours and their distance in Å.
Positions (direct):
Al: 0.2646 0.7646 0.5000  2 Fe 2.53, 4 Si 2.65, 4 Al 2.69-2.83
Al: 0.9934 0.9934 0.0000  4 Fe 2.64, 4 Si 2.64-2.87, 4 Al 2.69-2.83
Fe: 0.5120 0.5120 0.0000  2 Si 2.35, 2 Al 2.53
Si: 0.7300 0.2300 0.5000  2 Fe 2.35

Summary:
For the formation energy without anion corrections, the calculation gives -0.037 eV/atom. For the theoretical density, the calculation gives 4.28 g/cm3. As for the space-group type: Imm2. The calculation puts the total energy at -5.380 eV per atom. For the density of states at the Fermi level, the calculation gives 2.3 states/eV per cell.